Entry 1:
This record from Alexandria describes a geometry-optimized Tl2CdCl structure. The functional is GGA-PBEsol.

Properties
The raw formation energy comes out at -26.2 kJ per mole of atoms. Its size of the total moment is 0.0 μB/cell. Its energy above the lowest structure with this stoichiometry is 55.6 meV/atom.

```
data_Tl2CdCl
_chemical_formula_sum 'Tl4 Cd2 Cl2'
_cell_length_a 4.412
_cell_length_b 4.412
_cell_length_c 10.953
_cell_angle_alpha 90.00
_cell_angle_beta 90.00
_cell_angle_gamma 90.00
_space_group_name_H-M_alt 'I -4 m 2'
_space_group_IT_number 119
_space_group_name_Hall 'I -4 -2'
loop_
_atom_site_label
_atom_site_type_symbol
_atom_site_fract_x
_atom_site_fract_y
_atom_site_fract_z
Tl1 Tl 0.000 0.000 0.000
Tl2 Tl 0.000 0.500 0.250
Cd1 Cd 0.000 0.000 0.500
Cl1 Cl 0.000 0.500 0.750
```

=====

Entry 2:
This record from Alexandria describes a geometry-optimized Ag2Pt structure. The functional is GGA-PBEsol.

Properties
Its size of the total moment is 0.0 μB/cell. As for the calculated formation energy: 0.0334 eV/atom. Its energy above the lowest structure with this stoichiometry is 40.9 meV/atom.

```
data_Ag2Pt
_chemical_formula_sum 'Ag8 Pt4'
_cell_length_a 8.433
_cell_length_b 4.917
_cell_length_c 4.618
_cell_angle_alpha 90.00
_cell_angle_beta 90.00
_cell_angle_gamma 90.00
_space_group_name_H-M_alt 'C m c m'
_space_group_IT_number 63
_space_group_name_Hall '-C 2c 2'
loop_
_atom_site_label
_atom_site_type_symbol
_atom_site_fract_x
_atom_site_fract_y
_atom_site_fract_z
Ag1 Ag 0.164 0.159 0.250
Pt1 Pt 0.000 0.352 0.750
```

=====

Entry 3:
This record from Alexandria describes a geometry-optimized KPW2 structure. The functional is GGA-PBEsol.

Properties
Its size of the total moment is 0.0 μB/cell. As for the calculated formation energy: 0.4759 eV/atom. Its energy above the lowest structure with this stoichiometry is 0.0 meV/atom.

```
data_KPW2
_chemical_formula_sum 'K3 P3 W6'
_cell_length_a 2.9736
_cell_length_b 2.9736
_cell_length_c 28.8231
_cell_angle_alpha 90.00
_cell_angle_beta 90.00
_cell_angle_gamma 120.00
_space_group_name_H-M_alt 'R 3 m'
_space_group_IT_number 160
_space_group_name_Hall 'R 3 -2"'
loop_
_atom_site_label
_atom_site_type_symbol
_atom_site_fract_x
_atom_site_fract_y
_atom_site_fract_z
K1 K 0.0000 0.0000 0.0000
P1 P 0.0000 0.0000 0.7573
W1 W 0.0000 0.0000 0.2256
W2 W 0.0000 0.0000 0.4833
```

=====

Entry 4:
This record from Alexandria describes a geometry-optimized LiSmS2 structure. The functional is GGA-PBEsol.

Properties
The raw formation energy comes out at -177.2 kJ per mole of atoms. Its size of the total moment is 0.0 μB/cell.

```
data_LiSmS2
_chemical_formula_sum 'Li3 Sm3 S6'
_cell_length_a 3.9539
_cell_length_b 3.9539
_cell_length_c 18.2521
_cell_angle_alpha 90.00
_cell_angle_beta 90.00
_cell_angle_gamma 120.00
_space_group_name_H-M_alt 'R -3 m'
_space_group_IT_number 166
_space_group_name_Hall '-R 3 2"'
loop_
_atom_site_label
_atom_site_type_symbol
_atom_site_fract_x
_atom_site_fract_y
_atom_site_fract_z
Li1 Li 0.0000 0.0000 0.0000
Sm1 Sm 0.0000 0.0000 0.5000
S1 S 0.0000 0.0000 0.2523
```

=====

Entry 5:
This record from Alexandria describes a geometry-optimized Sc3Co structure. The functional is GGA-PBEsol.

Properties
Its size of the total moment is 0.0 μB/cell. As for the calculated formation energy: 0.0922 eV/atom.

```
data_Sc3Co
_chemical_formula_sum 'Sc3 Co1'
_cell_length_a 4.192
_cell_length_b 4.192
_cell_length_c 4.192
_cell_angle_alpha 90.00
_cell_angle_beta 90.00
_cell_angle_gamma 90.00
_space_group_name_H-M_alt 'P m -3 m'
_space_group_IT_number 221
_space_group_name_Hall '-P 4 2 3'
loop_
_atom_site_label
_atom_site_type_symbol
_atom_site_fract_x
_atom_site_fract_y
_atom_site_fract_z
Sc1 Sc 0.000 0.000 0.500
Co1 Co 0.500 0.500 0.500
```

=====

Entry 6:
This record from Alexandria describes a geometry-optimized RbHf3Ru structure. The functional is GGA-PBEsol.

Properties
Its size of the total moment is 0.0 μB/cell. As for the calculated formation energy: 0.6371 eV/atom.

```
data_RbHf3Ru
_chemical_formula_sum 'Rb1 Hf3 Ru1'
_cell_length_a 5.072
_cell_length_b 5.072
_cell_length_c 5.072
_cell_angle_alpha 90.00
_cell_angle_beta 90.00
_cell_angle_gamma 90.00
_space_group_name_H-M_alt 'P m -3 m'
_space_group_IT_number 221
_space_group_name_Hall '-P 4 2 3'
loop_
_atom_site_label
_atom_site_type_symbol
_atom_site_fract_x
_atom_site_fract_y
_atom_site_fract_z
Rb1 Rb 0.000 0.000 0.000
Hf1 Hf 0.000 0.500 0.500
Ru1 Ru 0.500 0.500 0.500
```

=====

Entry 7:
This record from Alexandria describes a geometry-optimized MgNbCl2 structure. The functional is GGA-PBEsol.

Properties
The raw formation energy comes out at -68.1 kJ per mole of atoms. Its size of the total moment is 0.0 μB/cell.

```
data_MgNbCl2
_chemical_formula_sum 'Mg3 Nb3 Cl6'
_cell_length_a 3.1433
_cell_length_b 3.1433
_cell_length_c 28.3275
_cell_angle_alpha 90.00
_cell_angle_beta 90.00
_cell_angle_gamma 120.00
_space_group_name_H-M_alt 'R -3 m'
_space_group_IT_number 166
_space_group_name_Hall '-R 3 2"'
loop_
_atom_site_label
_atom_site_type_symbol
_atom_site_fract_x
_atom_site_fract_y
_atom_site_fract_z
Mg1 Mg 0.0000 0.0000 0.0000
Nb1 Nb 0.0000 0.0000 0.5000
Cl1 Cl 0.0000 0.0000 0.1040
```

=====

Entry 8:
This record from Alexandria describes a geometry-optimized MnCoPt structure. The functional is GGA-PBEsol.

Properties
Its size of the total moment is 1.6 μB/cell. As for the calculated formation energy: 0.0952 eV/atom.

```
data_MnCoPt
_chemical_formula_sum 'Mn1 Co1 Pt1'
_cell_length_a 2.5960
_cell_length_b 2.5960
_cell_length_c 6.2026
_cell_angle_alpha 90.00
_cell_angle_beta 90.00
_cell_angle_gamma 120.00
_space_group_name_H-M_alt 'P 3 m 1'
_space_group_IT_number 156
_space_group_name_Hall 'P 3 -2"'
loop_
_atom_site_label
_atom_site_type_symbol
_atom_site_fract_x
_atom_site_fract_y
_atom_site_fract_z
Mn1 Mn 0.0000 0.0000 0.0000
Co1 Co 0.6667 0.3333 0.2950
Pt1 Pt 0.3333 0.6667 0.6510
```

=====

Entry 9:
This record from Alexandria describes a geometry-optimized LiMg2Pt structure. The functional is GGA-PBEsol.

Properties
Its size of the total moment is 0.0 μB/cell. As for the calculated formation energy: -0.5955 eV/atom. Its energy above the lowest structure with this stoichiometry is 0.0 meV/atom.

```
data_LiMg2Pt
_chemical_formula_sum 'Li4 Mg8 Pt4'
_cell_length_a 6.357
_cell_length_b 6.357
_cell_length_c 6.357
_cell_angle_alpha 90.00
_cell_angle_beta 90.00
_cell_angle_gamma 90.00
_space_group_name_H-M_alt 'F m -3 m'
_space_group_IT_number 225
_space_group_name_Hall '-F 4 2 3'
loop_
_atom_site_label
_atom_site_type_symbol
_atom_site_fract_x
_atom_site_fract_y
_atom_site_fract_z
Li1 Li 0.000 0.000 0.000
Mg1 Mg 0.250 0.250 0.250
Pt1 Pt 0.000 0.000 0.500
```

=====

Entry 10:
This record from Alexandria describes a geometry-optimized LiMn2Pt structure. The functional is GGA-PBEsol.

Properties
Its size of the total moment is 0.1 μB/cell. As for the calculated formation energy: -0.0472 eV/atom.

```
data_LiMn2Pt
_chemical_formula_sum 'Li2 Mn4 Pt2'
_cell_length_a 4.211
_cell_length_b 4.211
_cell_length_c 5.985
_cell_angle_alpha 90.00
_cell_angle_beta 90.00
_cell_angle_gamma 90.00
_space_group_name_H-M_alt 'I -4 m 2'
_space_group_IT_number 119
_space_group_name_Hall 'I -4 -2'
loop_
_atom_site_label
_atom_site_type_symbol
_atom_site_fract_x
_atom_site_fract_y
_atom_site_fract_z
Li1 Li 0.000 0.000 0.000
Mn1 Mn 0.000 0.000 0.500
Mn2 Mn 0.000 0.500 0.250
Pt1 Pt 0.000 0.500 0.750
```

=====

Entry 11:
This record from Alexandria describes a geometry-optimized SrMn2Co structure. The functional is GGA-PBEsol.

Properties
Its size of the total moment is 8.5 μB/cell. As for the calculated formation energy: 0.9557 eV/atom. Its energy above the lowest structure with this stoichiometry is 191.5 meV/atom.

```
data_SrMn2Co
_chemical_formula_sum 'Sr1 Mn2 Co1'
_cell_length_a 3.980
_cell_length_b 3.980
_cell_length_c 4.327
_cell_angle_alpha 90.00
_cell_angle_beta 90.00
_cell_angle_gamma 90.00
_space_group_name_H-M_alt 'P 4/m m m'
_space_group_IT_number 123
_space_group_name_Hall '-P 4 2'
loop_
_atom_site_label
_atom_site_type_symbol
_atom_site_fract_x
_atom_site_fract_y
_atom_site_fract_z
Sr1 Sr 0.000 0.000 0.000
Mn1 Mn 0.000 0.500 0.500
Co1 Co 0.500 0.500 0.000
```

=====

Entry 12:
This record from Alexandria describes a geometry-optimized NiAsBr2N structure. The functional is GGA-PBEsol.

Properties
The raw formation energy comes out at 120.5 kJ per mole of atoms. Its size of the total moment is 0.5 μB/cell.

```
data_NiAsBr2N
_chemical_formula_sum 'Ni1 As1 Br2 N1'
_cell_length_a 4.503
_cell_length_b 4.503
_cell_length_c 4.258
_cell_angle_alpha 90.00
_cell_angle_beta 90.00
_cell_angle_gamma 90.00
_space_group_name_H-M_alt 'P 4/m m m'
_space_group_IT_number 123
_space_group_name_Hall '-P 4 2'
loop_
_atom_site_label
_atom_site_type_symbol
_atom_site_fract_x
_atom_site_fract_y
_atom_site_fract_z
Ni1 Ni 0.000 0.000 0.000
As1 As 0.500 0.500 0.000
Br1 Br 0.000 0.500 0.500
N1 N 0.500 0.500 0.500
```